This record from the Alexandria database describes Ag2BiAu6 after structural relaxation. The functional is PBE.

POSCAR file:
```
Ag2BiAu6
1.0
5.183 0.573 0.549
3.700 6.984 2.754
3.700 3.057 6.857
Au Bi Ag
6 1 2
Cartesian
5.678 4.314 2.176
6.291 4.344 6.086
5.678 2.363 4.215
6.905 8.252 5.945
6.291 6.271 4.073
6.905 6.301 7.983
5.183 0.573 0.549
3.377 4.015 3.842
9.205 6.600 6.317
```

Properties
Crystal system: monoclinic
Total magnetic moment, μB per cell: 0.0
Formation enthalpy at 0 K, eV/atom: 0.10
Space group: C2/m

***

This record from the Alexandria database describes AlRu2Cl after structural relaxation. The functional is PBE.

POSCAR file:
```
AlRu2Cl
1.0
2.881 0.000 0.000
0.000 2.881 0.000
0.000 0.000 7.409
Al Ru Cl
1 2 1
Cartesian
0.000 0.000 3.465
0.000 0.000 0.166
1.441 1.441 1.827
1.441 1.441 5.655
```

Properties
Formation energy from raw total energies, eV/atom: 0.058
Crystal system: tetragonal
Total magnetic moment, μB per cell: 0.0
Space group: P4mm

***

no.,energy above the lowest structure with this stoichiometry (eV/f.u.)
1,0.76
2,0.65